# 1
Computed, not measured: an optimized crystal structure of Er2Al3Ag at the PBE-GGA level of DFT.

a = 5.5955 Å, b = 5.5955 Å, c = 8.8647 Å
α = 90.00°, β = 90.00°, γ = 120.00°
Closest atoms and distances in Å follow each position.
Element x y z (fractional)
Er: 0.3333 0.6667 0.5707  4 Er 3.18-3.47, 9 Al 3.22-3.25, 3 Ag 3.29
Er: 0.3333 0.6667 0.9293  4 Er 3.18-3.47, 9 Al 3.22-3.25, 3 Ag 3.29
Er: 0.6667 0.3333 0.4293  4 Er 3.18-3.47, 9 Al 3.22-3.25, 3 Ag 3.29
Er: 0.6667 0.3333 0.0707  4 Er 3.18-3.47, 9 Al 3.22-3.25, 3 Ag 3.29
Al: 0.8290 0.1710 0.7500  4 Al 2.72-2.87, 2 Ag 2.77
Al: 0.1710 0.8290 0.2500  4 Al 2.72-2.87, 2 Ag 2.77
Al: 0.8290 0.6580 0.7500  4 Al 2.72-2.87, 2 Ag 2.77
Al: 0.6580 0.8290 0.2500  4 Al 2.72-2.87, 2 Ag 2.77
Al: 0.1710 0.3420 0.2500  4 Al 2.72-2.87, 2 Ag 2.77
Al: 0.3420 0.1710 0.7500  4 Al 2.72-2.87, 2 Ag 2.77
Ag: 0.0000 0.0000 0.5000  6 Al 2.77
Ag: 0.0000 0.0000 0.0000  6 Al 2.77

Results
**Calculated formation energy**: -0.459 eV per atom
**Polymorph energy (0 for the lowest one)**: 0.0 meV/atom
**Calculated total energy**: -4.327 eV/atom


# 2
Computed, not measured: an optimized crystal structure of ErAl2Ag at the PBE-GGA level of DFT.

a = 3.2258 Å, b = 3.2258 Å, c = 7.5022 Å
α = 90.00°, β = 90.00°, γ = 90.00°
Closest atoms and distances in Å follow each position.
Element x y z (fractional)
Er: 0.5000 0.5000 0.5000  8 Al 3.12, 4 Er 3.23
Al: 0.0000 0.0000 0.2153  4 Ag 2.80, 4 Er 3.12
Al: 0.0000 0.0000 0.7847  4 Ag 2.80, 4 Er 3.12
Ag: 0.5000 0.5000 0.0000  8 Al 2.80

Results
**Calculated formation energy**: -0.219 eV per atom
**Calculated total energy**: -3.944 eV/atom


# 3
Computed, not measured: an optimized crystal structure of Er4AlAg3 at the PBE-GGA level of DFT.

a = 3.6234 Å, b = 4.7199 Å, c = 11.2466 Å
α = 90.00°, β = 90.00°, γ = 90.00°
Closest atoms and distances in Å follow each position.
Element x y z (fractional)
Er: 0.0000 0.0000 0.1526  3 Ag 3.04-3.13, 4 Al 3.10
Er: 0.0000 0.5000 0.8477  5 Ag 3.03-3.10, 2 Al 3.14
Er: 0.5000 0.5000 0.3526  6 Ag 3.08-3.12, 1 Al 3.11
Er: 0.5000 0.0000 0.6447  7 Ag 3.07-3.16
Ag: 0.0000 0.5000 0.5787  2 Ag 2.94, 7 Er 3.03-3.12
Ag: 0.0000 0.0000 0.4226  2 Ag 2.94, 7 Er 3.04-3.09
Ag: 0.5000 0.0000 0.9253  2 Al 2.90, 7 Er 3.10-3.16
Al: 0.5000 0.5000 0.0758  2 Ag 2.90, 7 Er 3.10-3.14

Results
**Calculated formation energy**: -0.302 eV per atom
**Polymorph energy (0 for the lowest one)**: 48.3 meV/atom
**Calculated total energy**: -4.121 eV/atom


# 4
Computed, not measured: an optimized crystal structure of ErAl6Ag6 at the PBE-GGA level of DFT.

a = 5.3781 Å, b = 7.0742 Å, c = 7.0742 Å
α = 79.87°, β = 67.66°, γ = 67.66°
Closest atoms and distances in Å follow each position.
Element x y z (fractional)
Ag: 0.3094 0.1906 0.1906  6 Al 2.70-2.76
Ag: 0.0000 0.6627 0.3373  6 Al 2.83-2.86, 1 Ag 2.96, 1 Er 3.06
Ag: 0.3447 0.6553 0.6553  6 Al 2.79-2.85, 3 Ag 2.93-3.06
Ag: 0.6553 0.3447 0.3447  6 Al 2.79-2.85, 3 Ag 2.93-3.06
Ag: 0.0000 0.3373 0.6627  6 Al 2.83-2.86, 1 Ag 2.96, 1 Er 3.06
Ag: 0.6906 0.8094 0.8094  6 Al 2.70-2.76
Al: 0.5000 0.7689 0.2311  4 Al 2.72, 6 Ag 2.76-2.86
Al: 0.5000 0.5000 0.0000  4 Al 2.69-2.72, 6 Ag 2.70-2.83
Al: 0.0000 0.0000 0.5000  4 Al 2.69-2.72, 6 Ag 2.70-2.83
Al: 0.5000 0.0000 0.5000  4 Al 2.69-2.72, 6 Ag 2.70-2.83
Al: 0.5000 0.2311 0.7689  4 Al 2.72, 6 Ag 2.76-2.86
Al: 0.0000 0.5000 0.0000  4 Al 2.69-2.72, 6 Ag 2.70-2.83
Er: 0.0000 0.0000 0.0000  8 Ag 3.06-3.25, 4 Al 3.41

Results
**Calculated formation energy**: -0.171 eV per atom
**Calculated total energy**: -3.566 eV/atom


# 5
Computed, not measured: an optimized crystal structure of Er6Al5Ag at the PBE-GGA level of DFT.

a = 5.0641 Å, b = 7.1662 Å, c = 8.0079 Å
α = 90.00°, β = 71.57°, γ = 90.00°
Closest atoms and distances in Å follow each position.
Element x y z (fractional)
Er: 0.8332 0.7493 0.3335  7 Al 3.10-3.12, 1 Ag 3.11
Er: 0.1668 0.2507 0.6665  7 Al 3.10-3.12, 1 Ag 3.11
Er: 0.1668 0.7493 0.6665  7 Al 3.10-3.12, 1 Ag 3.11
Er: 0.8332 0.2507 0.3335  7 Al 3.10-3.12, 1 Ag 3.11
Er: 0.5000 0.7494 0.0000  6 Al 3.09-3.10, 2 Ag 3.10
Er: 0.5000 0.2506 0.0000  6 Al 3.09-3.10, 2 Ag 3.10
Al: 0.6666 0.5000 0.6669  8 Er 3.10
Al: 0.3334 0.5000 0.3331  8 Er 3.10
Al: 0.3349 0.0000 0.3302  8 Er 3.09-3.12
Al: 0.6651 0.0000 0.6698  8 Er 3.09-3.12
Al: 0.0000 0.5000 0.0000  8 Er 3.10
Ag: 0.0000 0.0000 0.0000  8 Er 3.10-3.11

Results
**Calculated formation energy**: -0.378 eV per atom
**Calculated total energy**: -4.457 eV/atom


# 6
Computed, not measured: an optimized crystal structure of Er2Al3Ag at the PBE-GGA level of DFT.

a = 5.7481 Å, b = 5.7481 Å, c = 9.1401 Å
α = 113.31°, β = 113.31°, γ = 75.03°
Closest atoms and distances in Å follow each position.
Element x y z (fractional)
Al: 0.6663 0.6663 0.8337  2 Al 2.63, 1 Ag 2.64
Al: 0.3337 0.3337 0.1663  2 Al 2.63, 1 Ag 2.64
Al: 0.8326 0.8326 0.1663  2 Al 2.63, 1 Ag 2.64
Al: 0.1674 0.1674 0.8337  2 Al 2.63, 1 Ag 2.64
Al: 0.1656 0.1656 0.3312  2 Al 2.63, 1 Ag 2.64
Al: 0.8344 0.8344 0.6688  2 Al 2.63, 1 Ag 2.64
Er: 0.7500 0.2500 0.5000  4 Ag 3.16, 8 Al 3.17, 2 Er 3.50
Er: 0.7482 0.2518 0.0000  10 Al 3.15-3.17, 2 Ag 3.18, 2 Er 3.47-3.53
Er: 0.2518 0.7482 0.0000  10 Al 3.15-3.17, 2 Ag 3.18, 2 Er 3.47-3.53
Er: 0.2500 0.7500 0.5000  4 Ag 3.16, 8 Al 3.17, 2 Er 3.50
Ag: 0.6678 0.6678 0.3357  3 Al 2.64
Ag: 0.3322 0.3322 0.6643  3 Al 2.64

Results
**Calculated formation energy**: -0.443 eV per atom
**Polymorph energy (0 for the lowest one)**: 16.4 meV/atom
**Calculated total energy**: -4.310 eV/atom


# 7
Computed, not measured: an optimized crystal structure of Er3Al4Ag4 at the PBE-GGA level of DFT.

a = 4.6179 Å, b = 3.4839 Å, c = 14.3265 Å
α = 96.98°, β = 99.27°, γ = 90.00°
Closest atoms and distances in Å follow each position.
Element x y z (fractional)
Er: 0.6423 0.1423 0.2846  6 Al 3.16-3.19, 6 Ag 3.19-3.20, 2 Er 3.48
Er: 0.0000 0.0000 0.0000  4 Ag 3.15, 8 Al 3.18, 2 Er 3.48
Er: 0.3577 0.8577 0.7154  6 Al 3.16-3.19, 6 Ag 3.19-3.20, 2 Er 3.48
Ag: 0.7373 0.7373 0.4747  4 Al 2.70-2.74, 4 Ag 2.98
Ag: 0.2627 0.2627 0.5253  4 Al 2.70-2.74, 4 Ag 2.98
Ag: 0.0935 0.5935 0.1869  3 Al 2.64-2.65
Ag: 0.9065 0.4065 0.8131  3 Al 2.64-2.65
Al: 0.5470 0.5470 0.0941  1 Al 2.64, 2 Ag 2.65
Al: 0.1874 0.6874 0.3749  5 Ag 2.64-2.74
Al: 0.4530 0.4530 0.9059  1 Al 2.64, 2 Ag 2.65
Al: 0.8126 0.3126 0.6251  5 Ag 2.64-2.74

Results
**Calculated formation energy**: -0.361 eV per atom
**Calculated total energy**: -4.003 eV/atom


# 8
Computed, not measured: an optimized crystal structure of Er3Al9Ag2 at the PBE-GGA level of DFT.

a = 4.2947 Å, b = 8.2838 Å, c = 8.2838 Å
α = 75.46°, β = 74.98°, γ = 74.98°
Closest atoms and distances in Å follow each position.
Element x y z (fractional)
Al: 0.0000 0.5000 0.5000  4 Al 2.80, 4 Ag 2.99
Al: 0.6586 0.7147 0.9680  4 Al 2.57-2.70, 1 Ag 2.60
Al: 0.1368 0.5833 0.1430  4 Al 2.66-2.80, 2 Ag 2.74
Al: 0.6586 0.9680 0.7147  4 Al 2.57-2.70, 1 Ag 2.60
Al: 0.3414 0.0320 0.2853  4 Al 2.57-2.70, 1 Ag 2.60
Al: 0.8632 0.4167 0.8570  4 Al 2.66-2.80, 2 Ag 2.74
Al: 0.1368 0.1430 0.5833  4 Al 2.66-2.80, 2 Ag 2.74
Al: 0.8632 0.8570 0.4167  4 Al 2.66-2.80, 2 Ag 2.74
Al: 0.3414 0.2853 0.0320  4 Al 2.57-2.70, 1 Ag 2.60
Er: 0.6929 0.3071 0.3071  10 Al 3.10-3.21, 2 Ag 3.17
Er: 0.3071 0.6929 0.6929  10 Al 3.10-3.21, 2 Ag 3.17
Er: 0.0000 0.0000 0.0000  12 Al 3.18-3.30
Ag: 0.5000 0.7048 0.2952  6 Al 2.60-2.74
Ag: 0.5000 0.2952 0.7048  6 Al 2.60-2.74

Results
**Calculated formation energy**: -0.364 eV per atom
**Calculated total energy**: -4.155 eV/atom


# 9
Computed, not measured: an optimized crystal structure of Er6Al2Ag at the PBE-GGA level of DFT.

a = 4.9451 Å, b = 7.1033 Å, c = 8.6576 Å
α = 114.22°, β = 106.63°, γ = 90.00°
Closest atoms and distances in Å follow each position.
Element x y z (fractional)
Er: 0.8341 0.5865 0.6674  1 Ag 3.05, 3 Al 3.06
Er: 0.1659 0.4135 0.3326  1 Ag 3.05, 3 Al 3.06
Er: 0.5000 0.2483 0.0000  2 Ag 3.04, 2 Al 3.07
Er: 0.5000 0.7517 0.0000  2 Ag 3.04, 2 Al 3.07
Er: 0.8341 0.0810 0.6674  1 Ag 3.05, 3 Al 3.06
Er: 0.1659 0.9190 0.3326  1 Ag 3.05, 3 Al 3.06
Al: 0.6660 0.6665 0.3330  8 Er 3.06-3.07
Al: 0.3340 0.3335 0.6670  8 Er 3.06-3.07
Ag: 0.0000 0.0000 0.0000  8 Er 3.04-3.05

Results
**Calculated formation energy**: -0.009 eV per atom
**Calculated total energy**: -4.200 eV/atom


# 10
Computed, not measured: an optimized crystal structure of Er8AlAg2 at the PBE-GGA level of DFT.

a = 5.3149 Å, b = 8.3108 Å, c = 8.3108 Å
α = 117.95°, β = 100.19°, γ = 100.19°
Closest atoms and distances in Å follow each position.
Element x y z (fractional)
Er: 0.3060 0.6107 0.6107  1 Al 3.14, 6 Er 3.15-3.48, 2 Ag 3.21
Er: 0.5000 0.7787 0.2213  2 Ag 2.91, 1 Al 3.15
Er: 0.6940 0.3893 0.3893  1 Al 3.14, 6 Er 3.15-3.48, 2 Ag 3.21
Er: 0.8963 0.9059 0.6755  2 Ag 2.96-3.17, 1 Er 3.28
Er: 0.1037 0.3245 0.0941  2 Ag 2.96-3.17, 1 Er 3.28
Er: 0.1037 0.0941 0.3245  2 Ag 2.96-3.17, 1 Er 3.28
Er: 0.5000 0.2213 0.7787  2 Ag 2.91, 1 Al 3.15
Er: 0.8963 0.6755 0.9059  2 Ag 2.96-3.17, 1 Er 3.28
Al: 0.5000 0.0000 0.0000  8 Er 3.14-3.50
Ag: 0.0000 0.3039 0.6961  8 Er 2.91-3.21
Ag: 0.0000 0.6961 0.3039  8 Er 2.91-3.21

Results
**Calculated formation energy**: -0.040 eV per atom
**Calculated total energy**: -4.218 eV/atom